Entry 1:
Tl3Zn2F7 PBE optimized geometry; formation energy from raw total energies = -2.06 eV per atom; raw total energy = -3.9568 eV per atom
1.0
-2.0978 2.0978 11.2962
2.0978 -2.0978 11.2962
2.0978 2.0978 -11.2962
Tl Zn F
3 2 7
Direct
0.0000 0.0000 0.0000
0.1853 0.1853 0.0000
0.8147 0.8147 0.0000
0.4066 0.4066 0.0000
0.5934 0.5934 0.0000
0.0932 0.5932 0.5000
0.3170 0.3170 0.0000
0.4068 0.9068 0.5000
0.5000 0.5000 0.0000
0.5932 0.0932 0.5000
0.6830 0.6830 0.0000
0.9068 0.4068 0.5000

---

Entry 2:
Tl2ZnF8 PBE optimized geometry; formation energy from raw total energies = -1.93 eV per atom; raw total energy = -3.8357 eV per atom
1.0
4.6081 -3.5129 0.0000
4.6081 3.5129 0.0000
-1.4038 0.0000 4.8196
Tl Zn F
2 1 8
Direct
0.1779 0.1779 0.4154
0.8221 0.8221 0.5846
0.5000 0.5000 0.0000
0.0706 0.0706 0.7686
0.1618 0.5467 0.7340
0.3617 0.3617 0.2354
0.4533 0.8382 0.2660
0.5467 0.1618 0.7340
0.6383 0.6383 0.7646
0.8382 0.4533 0.2660
0.9294 0.9294 0.2314

---

Entry 3:
Tl3ZnF6 PBE optimized geometry; formation energy from raw total energies = -1.91 eV per atom; raw total energy = -3.8660 eV per atom
1.0
5.2276 -6.4544 0.0000
5.2276 6.4544 0.0000
0.0000 0.0000 6.0098
Tl Zn F
6 2 12
Direct
0.0944 0.9056 0.5000
0.2133 0.4199 0.4593
0.4199 0.2133 0.9593
0.5801 0.7867 0.4593
0.7867 0.5801 0.9593
0.9056 0.0944 0.0000
0.2836 0.7164 0.9251
0.7164 0.2836 0.4251
0.0838 0.6390 0.7484
0.1170 0.1518 0.7253
0.1518 0.1170 0.2253
0.2530 0.7470 0.2381
0.3610 0.9162 0.7484
0.4297 0.5703 0.8671
0.5703 0.4297 0.3671
0.6390 0.0838 0.2484
0.7470 0.2530 0.7381
0.8482 0.8830 0.7253
0.8830 0.8482 0.2253
0.9162 0.3610 0.2484

---

Entry 4:
Tl2ZnF3 PBE optimized geometry; formation energy from raw total energies = -1.63 eV per atom; raw total energy = -3.5700 eV per atom
1.0
6.7277 -3.0549 0.0000
6.7277 3.0549 0.0000
-1.7123 0.0000 5.9158
Tl Zn F
4 2 6
Direct
0.1629 0.2052 0.0720
0.2052 0.1629 0.5720
0.7948 0.8371 0.4280
0.8371 0.7948 0.9280
0.4266 0.5734 0.7500
0.5734 0.4266 0.2500
0.1072 0.8928 0.7500
0.3656 0.4377 0.9629
0.4377 0.3656 0.4629
0.5623 0.6344 0.5371
0.6344 0.5623 0.0371
0.8928 0.1072 0.2500

---

Entry 5:
TlZn2F5 PBE optimized geometry; formation energy from raw total energies = -2.15 eV per atom; raw total energy = -3.9297 eV per atom
1.0
2.1464 -5.2064 0.0000
2.1464 5.2064 0.0000
0.0000 0.0000 10.7452
Tl Zn F
2 4 10
Direct
0.0566 0.9434 0.7500
0.9434 0.0566 0.2500
0.3551 0.6449 0.5600
0.3551 0.6449 0.9400
0.6449 0.3551 0.0600
0.6449 0.3551 0.4400
0.1798 0.8202 0.0327
0.1798 0.8202 0.4673
0.3148 0.6852 0.7500
0.4535 0.5465 0.1058
0.4535 0.5465 0.3942
0.5465 0.4535 0.6058
0.5465 0.4535 0.8942
0.6852 0.3148 0.2500
0.8202 0.1798 0.5327
0.8202 0.1798 0.9673

---

Entry 6:
Tl2ZnF4 PBE optimized geometry; formation energy from raw total energies = -1.97 eV per atom; raw total energy = -3.8998 eV per atom
1.0
6.5666 0.0000 0.0000
0.0000 5.7834 0.0000
-2.3356 0.0000 6.5790
Tl Zn F
4 2 8
Direct
0.0251 0.2500 0.1645
0.3204 0.7500 0.5190
0.6796 0.2500 0.4810
0.9749 0.7500 0.8355
0.3944 0.2500 0.8816
0.6056 0.7500 0.1184
0.0676 0.2500 0.8060
0.3305 0.2500 0.5672
0.3806 0.0051 0.1121
0.3806 0.4949 0.1121
0.6194 0.5051 0.8879
0.6194 0.9949 0.8879
0.6695 0.7500 0.4328
0.9324 0.7500 0.1940

---

> What is the formula in the third record?

Tl3ZnF6